[1]
Material: CeNpC2
Method: DFT, GGA-PBE
State: relaxed

Values from the calculation:
The calculation puts the energy above the most stable polymorph in this dataset at 0.000 kcal/mol of atoms. Its crystal system is trigonal. Its symmetry is R-3m.

The structure in extended XYZ format:
```
4
Lattice="3.581 0.000 0.000 1.790 3.101 0.000 1.790 1.034 5.720" Properties=species:S:1:pos:R:3 pbc="T T T"
Np 0.000 0.000 0.000
C 5.371 3.101 4.557
C 1.790 1.034 1.163
Ce 3.581 2.067 2.860
```

[2]
Material: CeNpC
Method: DFT, GGA-PBE
State: relaxed

Values from the calculation:
The calculation puts the energy above the most stable polymorph in this dataset at 9.879 kcal/mol of atoms. Its crystal system is hexagonal. Its symmetry is P6_3/mmc.

The structure in extended XYZ format:
```
6
Lattice="4.224 -1.050 0.000 -1.202 4.183 0.000 0.000 0.000 6.006" Properties=species:S:1:pos:R:3 pbc="T T T"
Np 3.115 -0.390 1.501
C -0.502 3.099 1.501
C 3.115 -0.390 4.504
Np -0.502 3.099 4.504
Ce 1.306 1.354 3.003
Ce 1.306 1.354 0.000
```

[3]
Material: CeNpC
Method: DFT, GGA-PBE
State: relaxed

Values from the calculation:
The calculation puts the energy above the most stable polymorph in this dataset at 5.726 kcal/mol of atoms. Its crystal system is tetragonal. Its symmetry is I4mm.

The structure in extended XYZ format:
```
3
Lattice="-2.643 -0.888 -1.346 -0.795 -1.531 2.571 -0.963 6.063 1.450" Properties=species:S:1:pos:R:3 pbc="T T T"
Ce -4.149 3.190 2.482
Np -2.911 0.949 1.529
C -1.739 3.149 1.338
```

[4]
Material: Ce2NpUC4
Method: DFT, GGA-PBE
State: relaxed

Values from the calculation:
Its crystal system is monoclinic. The energy is -9.194 eV/atom. Its symmetry is P2/m.

The structure in extended XYZ format:
```
8
Lattice="-1.888 -2.891 0.980 2.844 -0.027 5.398 -3.201 3.456 4.027" Properties=species:S:1:pos:R:3 pbc="T T T"
Ce -3.201 3.456 4.027
C -1.793 -2.090 3.526
Np 0.478 -1.459 3.189
U -0.179 1.714 4.712
C -2.461 1.097 5.067
C -0.452 2.627 6.878
C 0.216 -0.560 5.337
Ce -2.545 0.282 2.504
```

no.,density of states at the Fermi level (states/eV/cell)
1,9.18
2,17.46
3,7.94
4,11.97